1.
Density functional theory data (PBE) for a relaxed Ho2VB2Ru5 crystal.

Cell lengths 9.5494, 9.5494, 3.0818 Å; angles 90.00, 90.00, 90.00 degrees
Last column: nearest neighbours and their distance in Å.
Sites, in units of the cell vectors:
Ho 0.1753 0.3247 0.0000  3 B 2.73-2.89, 10 Ru 2.82-3.00
Ho 0.3247 0.8247 0.0000  3 B 2.73-2.89, 10 Ru 2.82-3.00
Ho 0.6753 0.1753 0.0000  3 B 2.73-2.89, 10 Ru 2.82-3.00
Ho 0.8247 0.6753 0.0000  3 B 2.73-2.89, 10 Ru 2.82-3.00
V 0.0000 0.0000 0.0000  8 Ru 2.64
V 0.5000 0.5000 0.0000  8 Ru 2.64
B 0.1223 0.6223 0.0000  6 Ru 2.26
B 0.3777 0.1223 0.0000  6 Ru 2.26
B 0.6223 0.8777 0.0000  6 Ru 2.26
B 0.8777 0.3777 0.0000  6 Ru 2.26
Ru 0.0000 0.5000 0.5000  4 B 2.26
Ru 0.0695 0.7871 0.5000  2 B 2.26
Ru 0.2129 0.0695 0.5000  2 B 2.26
Ru 0.2871 0.5695 0.5000  2 B 2.26
Ru 0.4305 0.2871 0.5000  2 B 2.26
Ru 0.5000 0.0000 0.5000  4 B 2.26
Ru 0.5695 0.7129 0.5000  2 B 2.26
Ru 0.7129 0.4305 0.5000  2 B 2.26
Ru 0.7871 0.9305 0.5000  2 B 2.26
Ru 0.9305 0.2129 0.5000  2 B 2.26

Total DFT energy (no corrections) (Ry/atom): -0.608
Total magnetic moment (μB/f.u.): 0.0
ΔH_f (0 K) (kcal/mol of atoms): -10.904
Calculated volume (Å³/atom): 14.1

***

2.
Density functional theory data (PBE) for a relaxed SrSn2Bi2 crystal.

Cell lengths 4.5753, 4.5753, 16.3657 Å; angles 90.00, 90.00, 90.00 degrees
Last column: nearest neighbours and their distance in Å.
Sites, in units of the cell vectors:
Sr 0.0000 0.0000 0.0000  8 Bi 3.60
Sr 0.5000 0.5000 0.5000  8 Bi 3.60
Sn 0.0000 0.5000 0.2500  4 Sn 3.24, 4 Bi 3.40
Sn 0.0000 0.5000 0.7500  4 Sn 3.24, 4 Bi 3.40
Sn 0.5000 0.0000 0.2500  4 Sn 3.24, 4 Bi 3.40
Sn 0.5000 0.0000 0.7500  4 Sn 3.24, 4 Bi 3.40
Bi 0.0000 0.0000 0.4036  1 Bi 3.15, 4 Sn 3.40
Bi 0.0000 0.0000 0.5964  1 Bi 3.15, 4 Sn 3.40
Bi 0.5000 0.5000 0.0964  1 Bi 3.15, 4 Sn 3.40
Bi 0.5000 0.5000 0.9036  1 Bi 3.15, 4 Sn 3.40

Total DFT energy (no corrections) (Ry/atom): -0.275
Total magnetic moment (μB/f.u.): 0.0
ΔH_f (0 K) (kcal/mol of atoms): -5.672
Calculated volume (Å³/atom): 34.3

***

3.
Density functional theory data (PBE) for a relaxed Cs2KCd3Au4 crystal.

Cell lengths 5.2268, 5.2268, 11.6225 Å; angles 90.00, 90.00, 90.00 degrees
Last column: nearest neighbours and their distance in Å.
Sites, in units of the cell vectors:
Cs 0.0000 0.5000 0.2319  8 Au 3.75-3.93, 7 Cd 3.87-4.07, 2 K 4.07
Cs 0.5000 0.0000 0.7681  8 Au 3.75-3.93, 7 Cd 3.87-4.07, 2 K 4.07
K 0.0000 0.0000 0.5000  4 Au 3.16
Cd 0.0000 0.5000 0.8989  5 Au 2.87
Cd 0.5000 0.0000 0.1011  5 Au 2.87
Cd 0.5000 0.5000 0.5000  4 Au 3.16
Au 0.0000 0.0000 0.0000  4 Cd 2.87
Au 0.0000 0.5000 0.6523  3 Cd 2.87-3.16, 2 K 3.16
Au 0.5000 0.0000 0.3477  3 Cd 2.87-3.16, 2 K 3.16
Au 0.5000 0.5000 0.0000  4 Cd 2.87

Total DFT energy (no corrections) (Ry/atom): -0.154
Total magnetic moment (μB/f.u.): 0.0
ΔH_f (0 K) (kcal/mol of atoms): -5.272
Calculated volume (Å³/atom): 31.8

***

4.
Density functional theory data (PBE) for a relaxed Sr4SbTe crystal.

Cell lengths 6.8592, 6.8592, 6.8592 Å; angles 60.00, 60.00, 60.00 degrees
Last column: nearest neighbours and their distance in Å.
Sites, in units of the cell vectors:
Sr 0.1254 0.1254 0.1254  6 Sr 3.42-3.44
Sr 0.1254 0.1254 0.6237  6 Sr 3.42-3.44
Sr 0.1254 0.6237 0.1254  6 Sr 3.42-3.44
Sr 0.6237 0.1254 0.1254  6 Sr 3.42-3.44
Sb 0.5000 0.5000 0.5000  12 Sr 4.02, 4 Te 4.20
Te 0.7500 0.7500 0.7500  12 Sr 4.02, 4 Sb 4.20

Total DFT energy (no corrections) (Ry/atom): -0.180
Total magnetic moment (μB/f.u.): 0.0
E_form (uncorrected) (kJ/mol of formula units): -69.8
Calculated volume (Å³/atom): 38.0

***

5.
Density functional theory data (PBE) for a relaxed ScTl2Cl crystal.

Cell lengths 3.6334, 5.8440, 10.5446 Å; angles 90.00, 90.00, 90.00 degrees
Last column: nearest neighbours and their distance in Å.
Sites, in units of the cell vectors:
Sc 0.0000 0.0000 0.0000  2 Cl 2.53
Sc 0.5000 0.5000 0.0000  2 Cl 2.53
Tl 0.0000 0.0000 0.5058  8 Tl 3.33-3.63
Tl 0.0000 0.5000 0.7709  2 Sc 3.02, 2 Tl 3.33
Tl 0.5000 0.0000 0.7709  2 Sc 3.02, 2 Tl 3.33
Tl 0.5000 0.5000 0.5058  8 Tl 3.33-3.63
Cl 0.0000 0.5000 0.1669  2 Sc 2.53
Cl 0.5000 0.0000 0.1669  2 Sc 2.53

Total DFT energy (no corrections) (Ry/atom): -0.281
Total magnetic moment (μB/f.u.): 0.0
E_form (uncorrected) (kJ/mol of formula units): -227.5
Calculated volume (Å³/atom): 28.0

***

6.
Density functional theory data (PBE) for a relaxed K2ErSnSe5 crystal.

Cell lengths 10.2657, 10.2657, 14.6780 Å; angles 90.00, 90.00, 157.69 degrees
Last column: nearest neighbours and their distance in Å.
Sites, in units of the cell vectors:
K 0.1310 0.8690 0.5000  7 Se 3.36-3.70
K 0.1354 0.8646 0.1327  7 Se 3.33-3.71
K 0.8646 0.1354 0.6327  7 Se 3.33-3.71
K 0.8690 0.1310 0.0000  7 Se 3.36-3.70
Er 0.2080 0.7920 0.8444  5 Se 2.74-2.95
Er 0.7920 0.2080 0.3444  5 Se 2.74-2.95
Sn 0.4385 0.5615 0.2338  4 Se 2.49-2.62
Sn 0.5615 0.4385 0.7338  4 Se 2.49-2.62
Se 0.0502 0.9498 0.8494  2 Sn 2.62
Se 0.3012 0.6988 0.4725  2 Er 2.74
Se 0.3134 0.6866 0.1985  1 Sn 2.57
Se 0.3430 0.6570 0.8185  1 Er 2.75
Se 0.5001 0.4999 0.0867  1 Sn 2.49
Se 0.4999 0.5001 0.5867  1 Sn 2.49
Se 0.6570 0.3430 0.3185  1 Er 2.75
Se 0.6866 0.3134 0.6985  1 Sn 2.57
Se 0.6988 0.3012 0.9725  2 Er 2.74
Se 0.9498 0.0502 0.3494  2 Sn 2.62

Total DFT energy (no corrections) (Ry/atom): -0.304
Total magnetic moment (μB/f.u.): 0.1
E_form (uncorrected) (kJ/mol of formula units): -877.4
Calculated volume (Å³/atom): 32.6

***

Q: The lowest total DFT energy (no corrections) belongs to which entry?
A: Ho2VB2Ru5

***

Please write out number 5 again, unchanged.
Density functional theory data (PBE) for a relaxed ScTl2Cl crystal.

Cell lengths 3.6334, 5.8440, 10.5446 Å; angles 90.00, 90.00, 90.00 degrees
Last column: nearest neighbours and their distance in Å.
Sites, in units of the cell vectors:
Sc 0.0000 0.0000 0.0000  2 Cl 2.53
Sc 0.5000 0.5000 0.0000  2 Cl 2.53
Tl 0.0000 0.0000 0.5058  8 Tl 3.33-3.63
Tl 0.0000 0.5000 0.7709  2 Sc 3.02, 2 Tl 3.33
Tl 0.5000 0.0000 0.7709  2 Sc 3.02, 2 Tl 3.33
Tl 0.5000 0.5000 0.5058  8 Tl 3.33-3.63
Cl 0.0000 0.5000 0.1669  2 Sc 2.53
Cl 0.5000 0.0000 0.1669  2 Sc 2.53

Total DFT energy (no corrections) (Ry/atom): -0.281
Total magnetic moment (μB/f.u.): 0.0
E_form (uncorrected) (kJ/mol of formula units): -227.5
Calculated volume (Å³/atom): 28.0